1.
The following is a DFT calculation (PBE+U) of a relaxed InFeGeO4 crystal.

Calculated values
Space group ... Imma
Final energy ... -6.046 eV per atom

```
InFeGeO4
1.0
-6.0624 1.1874 -1.0929
-4.4330 -3.0840 3.2336
-3.4170 3.0808 4.2955
In O Fe Ge
2 8 2 2
Cartesian
-3.9250 -0.0016 3.7645 In
0.0000 0.0000 0.0000 In
-5.1847 1.8398 3.7354 O
-10.4399 0.8699 4.8387 O
-8.7276 -0.6557 2.7008 O
-5.7014 -1.2484 3.2463 O
-6.5096 0.9040 1.0797 O
-7.4027 0.2801 5.3565 O
-3.4724 0.3143 1.5975 O
-8.2109 2.4325 3.1899 O
-1.7085 1.5404 2.1478 Fe
-4.7397 2.1341 1.6013 Fe
-6.9298 1.9817 4.5817 Ge
-6.9825 -0.7975 1.8545 Ge
```


2.
The following is a DFT calculation (PBE+U) of a relaxed InFeGe2O6 crystal.

Calculated values
Space group ... C2/c
Final energy ... -6.211 eV per atom

```
InFeGe2O6
1.0
-3.2585 -3.8355 2.4221
-0.5865 -4.6105 -5.1524
4.7938 -4.3555 2.4896
Fe O In Ge
2 12 2 4
Cartesian
1.8447 -7.2561 3.5887 Fe
-0.8960 -5.5455 -3.8294 Fe
0.1361 -7.0358 -2.6971 O
-0.5789 -5.2706 0.0051 O
-1.1843 -2.4017 -0.1153 O
1.5945 -3.3270 -0.4331 O
-0.2261 -3.9745 -2.5443 O
0.8127 -5.7657 2.4564 O
1.1749 -8.8270 2.3036 O
-1.8453 -4.2735 2.4710 O
2.1331 -10.3998 -0.1254 O
2.7941 -8.5280 -2.7117 O
1.5276 -7.5310 -0.2458 O
-0.6457 -9.4745 0.1924 O
2.4554 -5.3866 0.9308 In
-1.5066 -7.4149 -1.1715 In
1.1102 -9.1111 0.5690 Ge
-0.8062 -5.5615 1.7998 Ge
-0.1615 -3.6904 -0.8097 Ge
1.7550 -7.2400 -2.0405 Ge
```